# 1
Entry from Alexandria: a relaxed structure of Al2FeOs (PBE).

The structure in CIF format:
```
data_Al2FeOs
_space_group_name_H-M_alt 'P 4/m m m'
_space_group_IT_number 123
_space_group_name_Hall '-P 4 2'
_cell_length_a 4.166
_cell_length_b 4.166
_cell_length_c 3.021
_cell_angle_alpha 90.00
_cell_angle_beta 90.00
_cell_angle_gamma 90.00
loop_
_atom_site_label
_atom_site_type_symbol
_atom_site_fract_x
_atom_site_fract_y
_atom_site_fract_z
_atom_site_occupancy
Al1 Al 0.000 0.500 0.000 1
Fe1 Fe 0.000 0.000 0.500 1
Os1 Os 0.500 0.500 0.500 1
```

Computed properties:
- Electronic total energy: -7.15 eV/atom
- Energy of formation: -34.03 kJ per mole of atoms

# 2
Entry from Alexandria: a relaxed structure of Al2FeOs (PBE).

The structure in CIF format:
```
data_Al2FeOs
_space_group_name_H-M_alt 'I -4 2 d'
_space_group_IT_number 122
_space_group_name_Hall 'I -4 2bw'
_cell_length_a 6.692
_cell_length_b 6.692
_cell_length_c 5.339
_cell_angle_alpha 90.00
_cell_angle_beta 90.00
_cell_angle_gamma 90.00
loop_
_atom_site_label
_atom_site_type_symbol
_atom_site_fract_x
_atom_site_fract_y
_atom_site_fract_z
_atom_site_occupancy
Al1 Al 0.242 0.250 0.125 1
Fe1 Fe 0.000 0.000 0.000 1
Os1 Os 0.000 0.000 0.500 1
```

Computed properties:
- Electronic total energy: -6.46 eV/atom
- Energy of formation: 32.36 kJ per mole of atoms

# 3
Entry from Alexandria: a relaxed structure of Al2FeOs (PBE).

The structure in CIF format:
```
data_Al2FeOs
_space_group_name_H-M_alt 'I -4 m 2'
_space_group_IT_number 119
_space_group_name_Hall 'I -4 -2'
_cell_length_a 3.710
_cell_length_b 3.710
_cell_length_c 7.945
_cell_angle_alpha 90.00
_cell_angle_beta 90.00
_cell_angle_gamma 90.00
loop_
_atom_site_label
_atom_site_type_symbol
_atom_site_fract_x
_atom_site_fract_y
_atom_site_fract_z
_atom_site_occupancy
Al1 Al 0.000 0.000 0.000 1
Al2 Al 0.000 0.500 0.250 1
Fe1 Fe 0.000 0.500 0.750 1
Os1 Os 0.000 0.000 0.500 1
```

Computed properties:
- Electronic total energy: -7.02 eV/atom
- Energy of formation: -21.72 kJ per mole of atoms

# 4
Entry from Alexandria: a relaxed structure of AlFeOs3 (PBE).

The structure in CIF format:
```
data_AlFeOs3
_space_group_name_H-M_alt 'P m -3 m'
_space_group_IT_number 221
_space_group_name_Hall '-P 4 2 3'
_cell_length_a 4.346
_cell_length_b 4.346
_cell_length_c 4.346
_cell_angle_alpha 90.00
_cell_angle_beta 90.00
_cell_angle_gamma 90.00
loop_
_atom_site_label
_atom_site_type_symbol
_atom_site_fract_x
_atom_site_fract_y
_atom_site_fract_z
_atom_site_occupancy
Al1 Al 0.000 0.000 0.000 1
Fe1 Fe 0.500 0.500 0.500 1
Os1 Os 0.000 0.000 0.500 1
```

Computed properties:
- Electronic total energy: -7.20 eV/atom
- Energy of formation: 190.95 kJ per mole of atoms
- ΔE to the lowest computed polymorph: 9.039 kcal/mol of atoms

# 5
Entry from Alexandria: a relaxed structure of AlFeOs3 (PBE).

The structure in CIF format:
```
data_AlFeOs3
_space_group_name_H-M_alt 'P m -3 m'
_space_group_IT_number 221
_space_group_name_Hall '-P 4 2 3'
_cell_length_a 4.399
_cell_length_b 4.399
_cell_length_c 4.399
_cell_angle_alpha 90.00
_cell_angle_beta 90.00
_cell_angle_gamma 90.00
loop_
_atom_site_label
_atom_site_type_symbol
_atom_site_fract_x
_atom_site_fract_y
_atom_site_fract_z
_atom_site_occupancy
Al1 Al 0.000 0.000 0.000 1
Fe1 Fe 0.500 0.500 0.500 1
Os1 Os 0.000 0.500 0.500 1
```

Computed properties:
- Electronic total energy: -7.59 eV/atom
- Energy of formation: 153.13 kJ per mole of atoms
- ΔE to the lowest computed polymorph: 0.000 kcal/mol of atoms

# 6
Entry from Alexandria: a relaxed structure of Al2FeOs (PBE).

The structure in CIF format:
```
data_Al2FeOs
_space_group_name_H-M_alt 'P 4 m m'
_space_group_IT_number 99
_space_group_name_Hall 'P 4 -2'
_cell_length_a 3.103
_cell_length_b 3.103
_cell_length_c 5.606
_cell_angle_alpha 90.00
_cell_angle_beta 90.00
_cell_angle_gamma 90.00
loop_
_atom_site_label
_atom_site_type_symbol
_atom_site_fract_x
_atom_site_fract_y
_atom_site_fract_z
_atom_site_occupancy
Al1 Al 0.000 0.000 0.000 1
Al2 Al 0.500 0.500 0.283 1
Fe1 Fe 0.000 0.000 0.497 1
Os1 Os 0.500 0.500 0.772 1
```

Computed properties:
- Electronic total energy: -7.01 eV/atom
- Energy of formation: -20.79 kJ per mole of atoms

# 7
Entry from Alexandria: a relaxed structure of AlFe2Os (PBE).

The structure in CIF format:
```
data_AlFe2Os
_space_group_name_H-M_alt 'I -4 m 2'
_space_group_IT_number 119
_space_group_name_Hall 'I -4 -2'
_cell_length_a 3.685
_cell_length_b 3.685
_cell_length_c 7.469
_cell_angle_alpha 90.00
_cell_angle_beta 90.00
_cell_angle_gamma 90.00
loop_
_atom_site_label
_atom_site_type_symbol
_atom_site_fract_x
_atom_site_fract_y
_atom_site_fract_z
_atom_site_occupancy
Al1 Al 0.000 0.000 0.000 1
Fe1 Fe 0.000 0.000 0.500 1
Fe2 Fe 0.000 0.500 0.750 1
Os1 Os 0.000 0.500 0.250 1
```

Computed properties:
- Electronic total energy: -8.05 eV/atom
- Energy of formation: -7.52 kJ per mole of atoms

# 8
Entry from Alexandria: a relaxed structure of AlFeOs4 (PBE).

The structure in CIF format:
```
data_AlFeOs4
_space_group_name_H-M_alt 'F -4 3 m'
_space_group_IT_number 216
_space_group_name_Hall 'F -4 2 3'
_cell_length_a 7.238
_cell_length_b 7.238
_cell_length_c 7.238
_cell_angle_alpha 90.00
_cell_angle_beta 90.00
_cell_angle_gamma 90.00
loop_
_atom_site_label
_atom_site_type_symbol
_atom_site_fract_x
_atom_site_fract_y
_atom_site_fract_z
_atom_site_occupancy
Al1 Al 0.000 0.000 0.000 1
Fe1 Fe 0.250 0.250 0.750 1
Os1 Os 0.125 0.125 0.375 1
```

Computed properties:
- Electronic total energy: -8.91 eV/atom
- Energy of formation: 59.35 kJ per mole of atoms

| no. | Fermi-level density of states (states/eV/f.u.) |
| --- | --- |
| 1 | 4.26 |
| 2 | 3.07 |
| 3 | 2.97 |
| 4 | 9.05 |
| 5 | 7.08 |
| 6 | 2.43 |
| 7 | 4.37 |
| 8 | 7.01 |